Computed, not measured: a geometry-optimized La5DyEr2 structure at the GGA-PBE level of DFT.

- DOS(E_F) (states/eV/f.u.) = 12.59
- E_tot (eV for the cell shown) = -149.27
- ΔE_f (kJ/mol of formula units) = 101

The structure in CIF format:
```
data_La5DyEr2
_chemical_formula_sum 'La20 Dy4 Er8'
_space_group_name_H-M_alt 'I 4/m c m'
_space_group_IT_number 140
_space_group_name_Hall '-I 4 2c'
_cell_length_a 9.2995
_cell_length_b 9.2995
_cell_length_c 12.9968
_cell_angle_alpha 90.00
_cell_angle_beta 90.00
_cell_angle_gamma 90.00
loop_
_atom_site_label
_atom_site_fract_x
_atom_site_fract_y
_atom_site_fract_z
_atom_site_occupancy
La1 0.0000 0.0000 0.0000 1
La2 0.1497 0.3503 0.1670 1
Dy1 0.0000 0.0000 0.2500 1
Er1 0.1452 0.3548 0.5000 1
```